Below is a geometry-optimized ZnPRu2 structure, with properties calculated at the PBE level.

Summary:
**Energy relative to the lowest polymorph listed for this composition**: 192 meV/atom
**Crystal system**: orthorhombic
**Energy of formation from the pure elements**: -0.261 eV/f.u.

abc: 4.2981 2.8670 9.0773
angles: 90.00 90.00 90.00
Closest atoms and distances in Å follow each position.
Space group Amm2 (No. 38)
Asymmetric unit:
Zn 0.0000 0.0000 0.0000 x2  3 Ru 2.41-2.56
P 0.5000 0.0000 0.6424 x2  5 Ru 2.30-2.52
Ru 0.0000 0.0000 0.7340 x2  2 P 2.30, 3 Zn 2.41-2.56
Ru 0.5000 0.0000 0.3704 x2  3 P 2.47-2.52